Entry 1:
# Re2AuBr

Crystalline Re2AuBr at its relaxed geometry (GGA-PBE, the Alexandria database).

```
data_Re2AuBr
_chemical_formula_sum 'Re4 Au2 Br2'
_cell_length_a 4.069
_cell_length_b 4.069
_cell_length_c 9.711
_cell_angle_alpha 77.91
_cell_angle_beta 77.91
_cell_angle_gamma 90.00
_symmetry_space_group_name_H-M 'P 1'
_symmetry_Int_Tables_number 1
loop_
_symmetry_equiv_pos_as_xyz
'x,y,z'
loop_
_atom_site_label
_atom_site_type_symbol
_atom_site_fract_x
_atom_site_fract_y
_atom_site_fract_z
Au1 Au 0.750 0.250 0.500
Re1 Re 0.552 0.125 0.250
Re2 Re 0.375 0.448 0.750
Br1 Br 0.500 0.500 0.000
Br2 Br 0.250 0.750 0.500
Au2 Au 0.000 0.000 0.000
Re3 Re 0.198 0.625 0.250
Re4 Re 0.875 0.802 0.750
```

Summary:
- Energy: -0.2237 Ha/atom
- SG: I-42d, No. 122
- Energy above the lowest structure with this stoichiometry: 0.699 eV/atom

---

Entry 2:
# Nb2VGe2Ru5

Crystalline Nb2VGe2Ru5 at its relaxed geometry (GGA-PBE, the Alexandria database).

```
data_Nb2VGe2Ru5
_chemical_formula_sum 'Nb4 V2 Ge4 Ru10'
_cell_length_a 3.441
_cell_length_b 9.420
_cell_length_c 9.420
_cell_angle_alpha 90.00
_cell_angle_beta 90.00
_cell_angle_gamma 90.00
_symmetry_space_group_name_H-M 'P 1'
_symmetry_Int_Tables_number 1
loop_
_symmetry_equiv_pos_as_xyz
'x,y,z'
loop_
_atom_site_label
_atom_site_type_symbol
_atom_site_fract_x
_atom_site_fract_y
_atom_site_fract_z
Ru1 Ru 0.500 0.047 0.801
Ge1 Ge 0.000 0.130 0.630
Ru2 Ru 0.500 0.500 0.000
Nb1 Nb 0.000 0.826 0.674
Ru3 Ru 0.500 0.699 0.453
Nb2 Nb 0.000 0.174 0.326
Ru4 Ru 0.500 0.547 0.699
V1 V 0.000 0.500 0.500
Ru5 Ru 0.500 0.801 0.953
Nb3 Nb 0.000 0.674 0.174
V2 V 0.000 0.000 0.000
Ru6 Ru 0.500 0.000 0.500
Ru7 Ru 0.500 0.301 0.547
Ge2 Ge 0.000 0.870 0.370
Ge3 Ge 0.000 0.630 0.870
Ge4 Ge 0.000 0.370 0.130
Ru8 Ru 0.500 0.199 0.047
Ru9 Ru 0.500 0.953 0.199
Nb4 Nb 0.000 0.326 0.826
Ru10 Ru 0.500 0.453 0.301
```

Summary:
- Energy: -0.3177 Ha/atom
- SG: P4/mbm, No. 127
- Energy of formation from the pure elements: -0.159 eV/atom

---

Entry 3:
# Mn2VNi

Crystalline Mn2VNi at its relaxed geometry (GGA-PBE, the Alexandria database).

```
data_Mn2VNi
_chemical_formula_sum 'Mn2 V1 Ni1'
_cell_length_a 2.560
_cell_length_b 2.560
_cell_length_c 8.863
_cell_angle_alpha 81.70
_cell_angle_beta 81.70
_cell_angle_gamma 60.00
_symmetry_space_group_name_H-M 'P 1'
_symmetry_Int_Tables_number 1
loop_
_symmetry_equiv_pos_as_xyz
'x,y,z'
loop_
_atom_site_label
_atom_site_type_symbol
_atom_site_fract_x
_atom_site_fract_y
_atom_site_fract_z
Mn1 Mn 0.912 0.912 0.264
Ni1 Ni 0.500 0.500 0.500
V1 V 0.000 0.000 0.000
Mn2 Mn 0.088 0.088 0.736
```

Summary:
- Energy: -0.2930 Ha/atom
- SG: R-3m, No. 166
- Energy above the lowest structure with this stoichiometry: 0.450 eV/atom
- Energy of formation from the pure elements: 0.338 eV/atom

---

Ordered ρ results: 14.0, 9.7, 7.4; unit g/cm3.
Ordered total magnetic moment results: 0.00, 0.00, 1.15; unit μB/atom.